Record 1
# Pm4PrDy2Tm

Pm4PrDy2Tm after structural relaxation (PBE-GGA, Alexandria via LeMat-Bulk).

Values from the calculation:
Total moment in μB per cell: 0.1
ΔH_f (0 K) in meV per atom: 391
Calculated total energy in eV/atom: -4.29

Cell: 9.5659 9.5659 11.8726 Å, 128.36 128.36 88.35°
With the nearest neighbours (Å) after each atom.
Element x y z (fractional)
Pm (0.7526, 0.2482, 0.0010)  1 Tm 3.30, 3 Dy 3.36-3.44, 2 Pr 3.42-3.43, 2 Pm 3.43-3.44
Pm (0.7482, 0.2526, 0.5010)  1 Tm 3.30, 3 Dy 3.36-3.44, 2 Pr 3.42-3.43, 2 Pm 3.43-3.44
Pm (0.2515, 0.2472, 0.4982)  3 Dy 3.30-3.44, 1 Pr 3.36, 2 Tm 3.42, 2 Pm 3.44
Pm (0.2518, 0.7474, 0.4990)  1 Tm 3.30, 3 Dy 3.36-3.44, 2 Pr 3.42-3.43, 2 Pm 3.43-3.44
Pm (0.2474, 0.7518, 0.9990)  1 Tm 3.30, 3 Dy 3.36-3.44, 2 Pr 3.42-3.43, 2 Pm 3.43-3.44
Pm (0.7472, 0.7515, 0.9982)  3 Dy 3.30-3.44, 1 Pr 3.36, 2 Tm 3.42, 2 Pm 3.44
Pm (0.7485, 0.7528, 0.5018)  3 Dy 3.30-3.44, 1 Pr 3.36, 2 Tm 3.42, 2 Pm 3.44
Pm (0.2528, 0.2485, 0.0018)  3 Dy 3.30-3.44, 1 Pr 3.36, 2 Tm 3.42, 2 Pm 3.44
Pr (0.0000, 0.5000, 0.5000)  6 Pm 3.36-3.43, 2 Dy 3.44
Pr (0.0000, 0.5000, 0.0000)  6 Pm 3.36-3.43, 2 Dy 3.44
Tm (0.5000, 0.5000, 0.5000)  6 Pm 3.30-3.42, 2 Tm 3.44
Tm (0.0000, 0.0000, 0.0000)  6 Pm 3.30-3.42, 2 Tm 3.44
Dy (0.5000, 0.0000, 0.5000)  6 Pm 3.30-3.44, 2 Pr 3.44
Dy (0.5000, 0.5000, 0.0000)  6 Pm 3.36-3.44, 2 Dy 3.44
Dy (0.0000, 0.0000, 0.5000)  6 Pm 3.36-3.44, 2 Dy 3.44
Dy (0.5000, 0.0000, 0.0000)  6 Pm 3.30-3.44, 2 Pr 3.44

***

Record 2
# PaHgI6

PaHgI6 after structural relaxation (PBE-GGA, Alexandria via LeMat-Bulk).

Values from the calculation:
Uncorrected formation energy in eV per atom: -0.693
Total moment in μB per cell: 0.0
Calculated total energy in eV/atom: -3.08

Cell: 7.9303 7.9303 7.8738 Å, 100.31 100.31 120.14°
With the nearest neighbours (Å) after each atom.
Element x y z (fractional)
I (0.7268, 0.7268, 0.2774)  1 Pa 2.92
I (0.4235, 0.1146, 0.2653)  1 Pa 2.97, 1 Hg 3.20
I (0.5765, 0.8854, 0.7347)  1 Pa 2.97, 1 Hg 3.20
I (0.8854, 0.5765, 0.7347)  1 Pa 2.97, 1 Hg 3.20
I (0.1146, 0.4235, 0.2653)  1 Pa 2.97, 1 Hg 3.20
I (0.2732, 0.2732, 0.7226)  1 Pa 2.92
Pa (0.5000, 0.5000, 0.5000)  6 I 2.92-2.97
Hg (0.0000, 0.0000, 0.0000)  4 I 3.20

***

Record 3
# NaTeS2

NaTeS2 after structural relaxation (PBE-GGA, Alexandria via LeMat-Bulk).

Values from the calculation:
Uncorrected formation energy in eV per atom: -0.116
Total moment in μB per cell: 0.0
Calculated total energy in eV/atom: -3.29

Cell: 8.1771 8.1771 8.1771 Å, 30.43 30.43 30.43°
With the nearest neighbours (Å) after each atom.
Element x y z (fractional)
Na (0.0000, 0.0000, 0.0000)  2 S 2.62
S (0.1122, 0.1122, 0.1122)  1 Na 2.62, 3 Te 2.79
S (0.8878, 0.8878, 0.8878)  1 Na 2.62, 3 Te 2.79
Te (0.5000, 0.5000, 0.5000)  6 S 2.79